VASP calculation (PBE with a Hubbard U) on NbFeF2 after structural relaxation.

a b c (Å): 8.5385 8.5385 8.5385
angles (deg): 19.08 19.08 19.08
Closest atoms and distances in Å follow each position.
Atoms (fractional coordinates):
Nb 0.0000 0.0000 0.0000  6 F 2.26
Fe 0.5000 0.5000 0.5000  2 F 2.62, 6 Fe 2.83
F 0.3957 0.3957 0.3957  3 Nb 2.26
F 0.6043 0.6043 0.6043  3 Nb 2.26

Properties
For the spin magnetization, the calculation gives 3.58 Bohr magnetons per cell. The calculation puts the offset from the most stable computed form at 0 meV per atom. The space group is No. 166. For the density of states at the Fermi level, the calculation gives 0.40 states/eV/atom.